{"formula": "Li3Cr4O8", "functional": "PBE+U", "state": "optimized geometry", "cell": [[2.963, 1.711, 4.874], [-2.963, 1.711, 4.874], [0.000, -3.421, 4.874]], "species": ["Li", "Li", "Li", "Cr", "Cr", "Cr", "Cr", "O", "O", "O", "O", "O", "O", "O", "O"], "frac_coords": [[0.000, 0.500, 0.500], [0.500, 0.000, 0.500], [0.500, 0.500, 0.000], [0.000, 0.000, 0.500], [0.000, 0.500, 0.000], [0.500, 0.000, 0.000], [0.500, 0.500, 0.500], [0.241, 0.241, 0.241], [0.252, 0.731, 0.731], [0.269, 0.269, 0.748], [0.269, 0.748, 0.269], [0.731, 0.252, 0.731], [0.731, 0.731, 0.252], [0.748, 0.269, 0.269], [0.759, 0.759, 0.759]], "space_group": "R-3m (166)", "density_g_cm3": 4.00, "total_energy_ev_per_cell": -104.77, "m_tot_mub_per_cell": 11.0}